Entry 1:
Crystalline La5C2Br9 at its relaxed geometry, computed with PBEsol.

Lattice parameters (Å, degrees): 11.203 9.848 16.453 90.00 90.00 90.00
Positions (direct):
1 La 0.034 0.250 0.067
2 La 0.069 0.250 0.840
3 La 0.135 0.750 0.652
4 La 0.190 0.547 0.450
5 La 0.190 0.953 0.450
6 La 0.310 0.047 0.950
7 La 0.310 0.453 0.950
8 La 0.365 0.250 0.152
9 La 0.431 0.750 0.340
10 La 0.466 0.750 0.567
11 La 0.534 0.250 0.433
12 La 0.569 0.250 0.660
13 La 0.635 0.750 0.848
14 La 0.690 0.547 0.050
15 La 0.690 0.953 0.050
16 La 0.810 0.047 0.550
17 La 0.810 0.453 0.550
18 La 0.865 0.250 0.348
19 La 0.931 0.750 0.160
20 La 0.966 0.750 0.933
21 C 0.178 0.250 0.957
22 C 0.247 0.750 0.530
23 C 0.253 0.250 0.030
24 C 0.322 0.750 0.457
25 C 0.678 0.250 0.543
26 C 0.747 0.750 0.970
27 C 0.753 0.250 0.470
28 C 0.822 0.750 0.043
29 Br 0.070 0.035 0.612
30 Br 0.070 0.465 0.612
31 Br 0.112 0.250 0.441
32 Br 0.114 0.572 0.061
33 Br 0.114 0.928 0.061
34 Br 0.128 0.250 0.231
35 Br 0.134 0.552 0.823
36 Br 0.134 0.948 0.823
37 Br 0.159 0.750 0.294
38 Br 0.341 0.250 0.794
39 Br 0.366 0.052 0.323
40 Br 0.366 0.448 0.323
41 Br 0.372 0.750 0.731
42 Br 0.386 0.072 0.561
43 Br 0.386 0.428 0.561
44 Br 0.388 0.750 0.941
45 Br 0.430 0.535 0.112
46 Br 0.430 0.965 0.112
47 Br 0.570 0.035 0.888
48 Br 0.570 0.465 0.888
49 Br 0.612 0.250 0.059
50 Br 0.614 0.572 0.439
51 Br 0.614 0.928 0.439
52 Br 0.628 0.250 0.269
53 Br 0.634 0.552 0.677
54 Br 0.634 0.948 0.677
55 Br 0.659 0.750 0.206
56 Br 0.841 0.250 0.706
57 Br 0.866 0.052 0.177
58 Br 0.866 0.448 0.177
59 Br 0.872 0.750 0.769
60 Br 0.886 0.072 0.939
61 Br 0.886 0.428 0.939
62 Br 0.888 0.750 0.559
63 Br 0.930 0.535 0.388
64 Br 0.930 0.965 0.388

Computed properties:
Its total magnetization is 0.000 μB/f.u. The value obtained for the uncorrected formation energy is -160.81 kJ per mole of atoms. As for the crystal system: orthorhombic.

=====

Entry 2:
Crystalline La3CBr5 at its relaxed geometry, computed with PBEsol.

Lattice parameters (Å, degrees): 8.881 8.881 14.413 103.22 103.22 74.63
Positions (direct):
1 La 0.117 0.161 0.406
2 La 0.161 0.117 0.906
3 La 0.182 0.515 0.088
4 La 0.212 0.491 0.825
5 La 0.485 0.818 0.412
6 La 0.491 0.212 0.325
7 La 0.509 0.788 0.675
8 La 0.515 0.182 0.588
9 La 0.788 0.509 0.175
10 La 0.818 0.485 0.912
11 La 0.839 0.883 0.094
12 La 0.883 0.839 0.594
13 C 0.104 0.388 0.921
14 C 0.388 0.104 0.421
15 C 0.612 0.896 0.579
16 C 0.896 0.612 0.079
17 Br 0.118 0.800 0.980
18 Br 0.137 0.382 0.272
19 Br 0.143 0.857 0.250
20 Br 0.163 0.379 0.593
21 Br 0.196 0.804 0.750
22 Br 0.200 0.882 0.520
23 Br 0.379 0.163 0.093
24 Br 0.382 0.137 0.772
25 Br 0.479 0.521 0.250
26 Br 0.500 0.500 0.000
27 Br 0.500 0.500 0.500
28 Br 0.521 0.479 0.750
29 Br 0.618 0.863 0.228
30 Br 0.621 0.837 0.907
31 Br 0.800 0.118 0.480
32 Br 0.804 0.196 0.250
33 Br 0.837 0.621 0.407
34 Br 0.857 0.143 0.750
35 Br 0.863 0.618 0.728
36 Br 0.882 0.200 0.020

Computed properties:
Its total magnetization is 0.000 μB/f.u. The value obtained for the uncorrected formation energy is -156.94 kJ per mole of atoms. As for the crystal system: monoclinic.

=====

Entry 3:
Crystalline LaC2Br at its relaxed geometry, computed with PBEsol.

Lattice parameters (Å, degrees): 4.461 4.461 4.461 60.00 60.00 60.00
Positions (direct):
1 La 0.000 0.000 0.000
2 C 0.250 0.250 0.250
3 C 0.750 0.750 0.750
4 Br 0.500 0.500 0.500

Computed properties:
Its total magnetization is 0.000 μB/f.u. The value obtained for the uncorrected formation energy is 153.24 kJ per mole of atoms. As for the crystal system: cubic.

=====

Entry 4:
Crystalline LaCBr2 at its relaxed geometry, computed with PBEsol.

Lattice parameters (Å, degrees): 5.046 5.046 5.046 60.00 60.00 60.00
Positions (direct):
1 La 0.000 0.000 0.000
2 C 0.500 0.500 0.500
3 Br 0.250 0.250 0.250
4 Br 0.750 0.750 0.750

Computed properties:
Its total magnetization is 3.000 μB/f.u. The value obtained for the uncorrected formation energy is 13.60 kJ per mole of atoms. As for the crystal system: cubic.

=====

Entry 5:
Crystalline La4C2Br5 at its relaxed geometry, computed with PBEsol.

Lattice parameters (Å, degrees): 10.097 10.097 10.097 157.39 132.02 53.66
Positions (direct):
1 La 0.167 0.167 0.000
2 La 0.205 0.500 0.705
3 La 0.795 0.500 0.295
4 La 0.833 0.833 0.000
5 C 0.039 0.039 0.000
6 C 0.961 0.961 0.000
7 Br 0.114 0.334 0.779
8 Br 0.445 0.666 0.779
9 Br 0.500 0.000 0.500
10 Br 0.555 0.334 0.221
11 Br 0.886 0.666 0.221

Computed properties:
Its total magnetization is 0.000 μB/f.u. The value obtained for the uncorrected formation energy is -141.70 kJ per mole of atoms. As for the crystal system: orthorhombic.

=====

Entry 6:
Crystalline LaPCBr2 at its relaxed geometry, computed with PBEsol.

Lattice parameters (Å, degrees): 5.876 5.876 4.904 90.00 90.00 90.00
Positions (direct):
1 La 0.000 0.000 0.000
2 P 0.500 0.500 0.500
3 C 0.000 0.000 0.500
4 Br 0.000 0.500 0.000
5 Br 0.500 0.000 0.000

Computed properties:
Its total magnetization is 5.107 μB/f.u. The value obtained for the uncorrected formation energy is 76.47 kJ per mole of atoms. As for the crystal system: tetragonal.

=====

Entry 7:
Crystalline LaCSe2Br at its relaxed geometry, computed with PBEsol.

Lattice parameters (Å, degrees): 4.603 4.603 4.639 90.00 90.00 90.00
Positions (direct):
1 La 0.000 0.000 0.000
2 C 0.500 0.500 0.500
3 Se 0.000 0.500 0.500
4 Se 0.500 0.000 0.500
5 Br 0.500 0.500 0.000

Computed properties:
Its total magnetization is 0.000 μB/f.u. The value obtained for the uncorrected formation energy is -15.89 kJ per mole of atoms. As for the crystal system: tetragonal.

=====

Entry 8:
Crystalline LaCSeBr2 at its relaxed geometry, computed with PBEsol.

Lattice parameters (Å, degrees): 4.718 4.718 4.601 90.00 90.00 90.00
Positions (direct):
1 La 0.000 0.000 0.000
2 C 0.500 0.500 0.500
3 Se 0.500 0.500 0.000
4 Br 0.000 0.500 0.500
5 Br 0.500 0.000 0.500

Computed properties:
Its total magnetization is 0.222 μB/f.u. The value obtained for the uncorrected formation energy is -5.41 kJ per mole of atoms. As for the crystal system: tetragonal.

=====

Entry 9:
Crystalline Sr2LiCBr3N2 at its relaxed geometry, computed with PBEsol.

Lattice parameters (Å, degrees): 10.243 10.243 10.243 60.00 60.00 60.00
Positions (direct):
1 Sr 0.166 0.778 0.778
2 Sr 0.222 0.222 0.222
3 Sr 0.222 0.222 0.834
4 Sr 0.222 0.834 0.222
5 Sr 0.778 0.166 0.778
6 Sr 0.778 0.778 0.166
7 Sr 0.778 0.778 0.778
8 Sr 0.834 0.222 0.222
9 Li 0.000 0.500 0.500
10 Li 0.500 0.000 0.500
11 Li 0.500 0.500 0.000
12 Li 0.500 0.500 0.500
13 C 0.000 0.000 0.000
14 C 0.000 0.000 0.500
15 C 0.000 0.500 0.000
16 C 0.500 0.000 0.000
17 Br 0.179 0.179 0.571
18 Br 0.179 0.571 0.179
19 Br 0.179 0.571 0.571
20 Br 0.429 0.429 0.821
21 Br 0.429 0.821 0.429
22 Br 0.429 0.821 0.821
23 Br 0.571 0.179 0.179
24 Br 0.571 0.179 0.571
25 Br 0.571 0.571 0.179
26 Br 0.821 0.429 0.429
27 Br 0.821 0.429 0.821
28 Br 0.821 0.821 0.429
29 N 0.049 0.049 0.049
30 N 0.049 0.049 0.353
31 N 0.049 0.353 0.049
32 N 0.353 0.049 0.049
33 N 0.647 0.951 0.951
34 N 0.951 0.647 0.951
35 N 0.951 0.951 0.647
36 N 0.951 0.951 0.951

Computed properties:
Its total magnetization is 0.000 μB/f.u. The value obtained for the uncorrected formation energy is -144.12 kJ per mole of atoms. As for the crystal system: cubic.

=====

Entry 10:
Crystalline LiCSe2Br at its relaxed geometry, computed with PBEsol.

Lattice parameters (Å, degrees): 4.564 4.564 4.653 90.00 90.00 90.00
Positions (direct):
1 Li 0.000 0.000 0.000
2 C 0.500 0.500 0.500
3 Se 0.000 0.500 0.000
4 Se 0.500 0.000 0.000
5 Br 0.000 0.000 0.500

Computed properties:
Its total magnetization is 0.653 μB/f.u. The value obtained for the uncorrected formation energy is 146.85 kJ per mole of atoms. As for the crystal system: tetragonal.

=====

Entry 11:
Crystalline LiCSeBr2 at its relaxed geometry, computed with PBEsol.

Lattice parameters (Å, degrees): 4.718 4.718 4.693 90.00 90.00 90.00
Positions (direct):
1 Li 0.000 0.000 0.000
2 C 0.500 0.500 0.500
3 Se 0.000 0.000 0.500
4 Br 0.000 0.500 0.000
5 Br 0.500 0.000 0.000

Computed properties:
The energy above the most stable polymorph in this dataset is 0.848 eV per atom. Its total magnetization is 0.444 μB/f.u. The value obtained for the uncorrected formation energy is 131.87 kJ per mole of atoms. As for the crystal system: tetragonal.

=====

Entry 12:
Crystalline LiCSeBr2 at its relaxed geometry, computed with PBEsol.

Lattice parameters (Å, degrees): 5.171 5.171 4.004 90.00 90.00 90.00
Positions (direct):
1 Li 0.000 0.000 0.000
2 C 0.500 0.500 0.500
3 Se 0.500 0.500 0.000
4 Br 0.000 0.500 0.500
5 Br 0.500 0.000 0.500

Computed properties:
The energy above the most stable polymorph in this dataset is 0.000 eV per atom. Its total magnetization is 0.000 μB/f.u. The value obtained for the uncorrected formation energy is 50.00 kJ per mole of atoms. As for the crystal system: tetragonal.